1.
# Er2Sc2ZnGa4, optimized geometry, DFT PBE
data_Er2Sc2ZnGa4
_chemical_formula_sum 'Er4 Sc4 Zn2 Ga8'
_cell_length_a 6.742
_cell_length_b 6.742
_cell_length_c 8.665
_cell_angle_alpha 90.00
_cell_angle_beta 90.00
_cell_angle_gamma 90.00
_space_group_name_H-M_alt 'I 4/m m m'
_space_group_IT_number 139
_space_group_name_Hall '-I 4 2'
loop_
_atom_site_label
_atom_site_type_symbol
_atom_site_fract_x
_atom_site_fract_y
_atom_site_fract_z
Er1 Er 0.000 0.000 0.194
Sc1 Sc 0.000 0.500 0.250
Zn1 Zn 0.000 0.000 0.500
Ga1 Ga 0.250 0.250 0.000
# energy of formation: -0.186 eV/atom
# total magnetization: 1.32 Bohr magnetons per cell
# VASP energy: -4.094 eV/atom

---

2.
# La2ThTe, optimized geometry, DFT PBE
data_La2ThTe
_chemical_formula_sum 'La2 Th1 Te1'
_cell_length_a 3.888
_cell_length_b 3.888
_cell_length_c 8.745
_cell_angle_alpha 90.00
_cell_angle_beta 90.00
_cell_angle_gamma 90.00
_space_group_name_H-M_alt 'P 4/m m m'
_space_group_IT_number 123
_space_group_name_Hall '-P 4 2'
loop_
_atom_site_label
_atom_site_type_symbol
_atom_site_fract_x
_atom_site_fract_y
_atom_site_fract_z
La1 La 0.000 0.000 0.227
Th1 Th 0.500 0.500 0.500
Te1 Te 0.500 0.500 0.000
# total magnetization: 0.00 Bohr magnetons per cell
# VASP energy: -5.729 eV/atom
# ΔE_f (raw): -0.625 eV/atom

---

3.
# LiTb2P3Ir4, optimized geometry, DFT PBE
data_LiTb2P3Ir4
_chemical_formula_sum 'Li1 Tb2 P3 Ir4'
_cell_length_a 4.037
_cell_length_b 4.037
_cell_length_c 9.883
_cell_angle_alpha 90.00
_cell_angle_beta 90.00
_cell_angle_gamma 90.00
_space_group_name_H-M_alt 'P -4 m 2'
_space_group_IT_number 115
loop_
_space_group_symop_operation_xyz
'x,y,z'
'y,-x,-z'
'-x,-y,z'
'-y,x,-z'
'-x,y,z'
'-y,-x,-z'
'x,-y,z'
'y,x,-z'
loop_
_atom_site_label
_atom_site_type_symbol
_atom_site_fract_x
_atom_site_fract_y
_atom_site_fract_z
Li1 Li 0.000 0.000 0.000
Tb1 Tb 0.000 0.500 0.755
P1 P 0.000 0.500 0.361
P2 P 0.500 0.500 0.000
Ir1 Ir 0.000 0.000 0.500
Ir2 Ir 0.000 0.500 0.132
Ir3 Ir 0.500 0.500 0.500
# energy of formation: -0.948 eV/atom
# total magnetization: 0.00 Bohr magnetons per cell
# VASP energy: -7.232 eV/atom

---

4.
# NdGaS2, optimized geometry, DFT PBE
data_NdGaS2
_chemical_formula_sum 'Nd3 Ga3 S6'
_cell_length_a 3.6716
_cell_length_b 3.6716
_cell_length_c 24.7218
_cell_angle_alpha 90.00
_cell_angle_beta 90.00
_cell_angle_gamma 120.00
_space_group_name_H-M_alt 'R -3 m'
_space_group_IT_number 166
_space_group_name_Hall '-R 3 2"'
loop_
_atom_site_label
_atom_site_type_symbol
_atom_site_fract_x
_atom_site_fract_y
_atom_site_fract_z
Nd1 Nd 0.0000 0.0000 0.0000
Ga1 Ga 0.0000 0.0000 0.5000
S1 S 0.0000 0.0000 0.1123
# total magnetization: 0.00 Bohr magnetons per cell
# VASP energy: -4.639 eV/atom
# ΔE_f (raw): -0.627 eV/atom

---

5.
# Tb2TeRh, optimized geometry, DFT PBE
data_Tb2TeRh
_chemical_formula_sum 'Tb6 Te3 Rh3'
_cell_length_a 4.1301
_cell_length_b 4.1301
_cell_length_c 21.9034
_cell_angle_alpha 90.00
_cell_angle_beta 90.00
_cell_angle_gamma 120.00
_space_group_name_H-M_alt 'R 3 m'
_space_group_IT_number 160
_space_group_name_Hall 'R 3 -2"'
loop_
_atom_site_label
_atom_site_type_symbol
_atom_site_fract_x
_atom_site_fract_y
_atom_site_fract_z
Tb1 Tb 0.0000 0.0000 0.0000
Tb2 Tb 0.0000 0.0000 0.1948
Te1 Te 0.0000 0.0000 0.4313
Rh1 Rh 0.0000 0.0000 0.5959
# total magnetization: 0.00 Bohr magnetons per cell
# VASP energy: -5.964 eV/atom
# relative energy among the computed polymorphs: 30.0 meV per atom
# ΔE_f (raw): -1.025 eV/atom

---

6.
# Ba3SrMg2, optimized geometry, DFT PBE
data_Ba3SrMg2
_chemical_formula_sum 'Ba3 Sr1 Mg2'
_cell_length_a 4.360
_cell_length_b 4.360
_cell_length_c 15.072
_cell_angle_alpha 90.00
_cell_angle_beta 90.00
_cell_angle_gamma 90.00
_space_group_name_H-M_alt 'P 4/m m m'
_space_group_IT_number 123
_space_group_name_Hall '-P 4 2'
loop_
_atom_site_label
_atom_site_type_symbol
_atom_site_fract_x
_atom_site_fract_y
_atom_site_fract_z
Ba1 Ba 0.000 0.000 0.000
Ba2 Ba 0.000 0.000 0.290
Sr1 Sr 0.500 0.500 0.500
Mg1 Mg 0.500 0.500 0.147
# energy of formation: -0.036 eV/atom
# total magnetization: 0.00 Bohr magnetons per cell
# VASP energy: -1.809 eV/atom